1.
{
  "formula": "ZrMnNiOs2",
  "functional": "meta-GGA SCAN",
  "state": "single point on PBEsol structure",
  "total_energy_ev_per_cell": -203.0,
  "sg": "P4/mmm (123)",
  "total_magnetization_mub_per_fu": 1.15,
  "delta_e_f_mev_per_atom": 1168,
  "cell": [[4.3403, 0.0000, 0.0000], [0.0000, 4.3403, 0.0000], [0.0000, 0.0000, 4.5703]],
  "species": ["Zr", "Os", "Os", "Mn", "Ni"],
  "frac_coords": [[0.0000, 0.0000, 0.5000], [0.5000, 0.0000, 0.0000], [0.0000, 0.5000, 0.0000], [0.0000, 0.0000, 0.0000], [0.5000, 0.5000, 0.5000]]
}

***

2.
{
  "formula": "Mn3NiP",
  "functional": "meta-GGA SCAN",
  "state": "single point on PBEsol structure",
  "total_energy_ev_per_cell": -79.1,
  "sg": "Pm-3m (221)",
  "total_magnetization_mub_per_fu": 12.94,
  "delta_e_f_mev_per_atom": 447,
  "cell": [[-1.3441, -1.3027, -3.9314], [-3.7938, -1.2705, 1.7180], [-1.6611, 3.9557, -0.7428]],
  "species": ["Ni", "Mn", "Mn", "Mn", "P"],
  "frac_coords": [[0.5000, 0.5000, 0.5000], [0.5000, 0.0000, 0.5000], [0.5000, 0.5000, 0.0000], [0.0000, 0.5000, 0.5000], [0.0000, 0.0000, 0.0000]]
}

***

3.
{
  "formula": "MnNiP",
  "functional": "meta-GGA SCAN",
  "state": "single point on PBEsol structure",
  "total_energy_ev_per_cell": -45.1,
  "sg": "I4mm (107)",
  "total_magnetization_mub_per_fu": 1.61,
  "delta_e_f_mev_per_atom": -103,
  "cell": [[-1.3281, 0.3054, -2.3809], [-1.3454, -2.3479, 0.4503], [-1.7391, 3.1655, 2.9561]],
  "species": ["Mn", "Ni", "P"],
  "frac_coords": [[0.0214, 0.0214, 0.0428], [0.3184, 0.3184, 0.6368], [0.6602, 0.6602, 0.3204]]
}

***

Question: Which formula does entry 2 have?
Answer: Mn3NiP